(1)
Computed, not measured: a relaxed structure of Th4HgOs at the PBE level of DFT.

extended XYZ file:
```
12
Lattice="-0.870 -5.257 -4.218 7.600 0.292 1.590 -4.426 -2.085 7.225" Properties=species:S:1:pos:R:3 pbc="T T T"
Th 1.150 -3.006 -1.134
Th 5.799 -0.262 1.820
Th -3.495 -6.787 2.776
Th 1.155 -4.044 5.730
Th 4.522 -2.386 4.377
Th 1.452 -5.081 1.744
Th -2.217 -4.663 0.219
Th 0.852 -1.968 2.853
Hg -1.053 -4.914 3.605
Hg 3.358 -2.135 0.991
Os 3.131 -2.356 6.787
Os -0.827 -4.694 -2.191
```

## Properties
- Energy of formation: -0.045 eV per atom
- Spin magnetization: 0.00 μB/f.u.
- Relative energy among the computed polymorphs: 18.9 kJ per mole of atoms



(2)
Computed, not measured: a relaxed structure of KCaAg2 at the PBE level of DFT.

extended XYZ file:
```
4
Lattice="3.972 0.000 0.000 0.000 3.773 0.024 0.000 3.725 8.032" Properties=species:S:1:pos:R:3 pbc="T T T"
K 1.986 5.624 6.042
Ag 0.000 3.753 3.573
Ag 0.000 3.769 0.480
Ca 1.986 1.875 2.014
```

## Properties
- Energy of formation: -0.136 eV per atom
- Spin magnetization: 0.00 μB/f.u.
- Relative energy among the computed polymorphs: 0.0 kJ per mole of atoms



(3)
Computed, not measured: a relaxed structure of TlWAu3 at the PBE level of DFT.

extended XYZ file:
```
5
Lattice="-0.361 5.108 -0.459 -5.109 -0.399 -0.421 -0.454 0.426 5.104" Properties=species:S:1:pos:R:3 pbc="T T T"
W 0.000 0.000 0.000
Tl -2.962 2.568 2.112
Au -2.554 -0.200 -0.210
Au -0.227 0.213 2.552
Au -0.181 2.554 -0.229
```

## Properties
- Energy of formation: 0.888 eV per atom
- Spin magnetization: 0.00 μB/f.u.
- Relative energy among the computed polymorphs: 0.0 kJ per mole of atoms